Entry 1:
Crystalline Sr3DyEr3S8 at its relaxed geometry. Source: the Alexandria database, functional GGA-PBE.

Properties
The symmetry is No. 166. The uncorrected formation energy is -2.0787 eV/atom. The calculation puts the volume at 24.95 Å³ per atom.

Unit cell a=8.2350 b=8.2350 c=8.2350 alpha=57.72 beta=57.72 gamma=57.72
Atoms (fractional coordinates):
Sr: 0.0000 0.5000 0.5000
Sr: 0.5000 0.0000 0.5000
Sr: 0.5000 0.5000 0.0000
Dy: 0.5000 0.5000 0.5000
Er: 0.0000 0.0000 0.5000
Er: 0.0000 0.5000 0.0000
Er: 0.5000 0.0000 0.0000
S: 0.2390 0.7417 0.7417
S: 0.2419 0.2419 0.2419
S: 0.2583 0.2583 0.7610
S: 0.2583 0.7610 0.2583
S: 0.7417 0.2390 0.7417
S: 0.7417 0.7417 0.2390
S: 0.7581 0.7581 0.7581
S: 0.7610 0.2583 0.2583


Entry 2:
Crystalline PmAl5Fe at its relaxed geometry. Source: the Alexandria database, functional GGA-PBE.

Properties
The symmetry is No. 123. The calculation puts the volume at 18.07 Å³ per atom. The energy of formation from the pure elements comes out at -367 meV per atom.

Unit cell a=4.2499 b=4.2499 c=7.0036 alpha=90.00 beta=90.00 gamma=90.00
Atoms (fractional coordinates):
Pm: 0.0000 0.0000 0.0000
Al: 0.0000 0.5000 0.3168
Al: 0.0000 0.5000 0.6832
Al: 0.5000 0.0000 0.3168
Al: 0.5000 0.0000 0.6832
Al: 0.5000 0.5000 0.0000
Fe: 0.0000 0.0000 0.5000


Entry 3:
Crystalline Ac3Sn3Ru at its relaxed geometry. Source: the Alexandria database, functional GGA-PBE.

Properties
The symmetry is No. 12. The calculation puts the volume at 31.22 Å³ per atom. The energy of formation from the pure elements comes out at -573 meV per atom.

Unit cell a=6.5222 b=6.5222 c=16.0740 alpha=106.87 beta=106.87 gamma=42.27
Atoms (fractional coordinates):
Ac: 0.0194 0.0194 0.3858
Ac: 0.1046 0.1046 0.9178
Ac: 0.2443 0.2443 0.2437
Ac: 0.7557 0.7557 0.7563
Ac: 0.8954 0.8954 0.0822
Ac: 0.9806 0.9806 0.6142
Sn: 0.3312 0.3312 0.4647
Sn: 0.3874 0.3874 0.9250
Sn: 0.4637 0.4637 0.7614
Sn: 0.5363 0.5363 0.2386
Sn: 0.6126 0.6126 0.0750
Sn: 0.6688 0.6688 0.5353
Ru: 0.2588 0.2588 0.6180
Ru: 0.7412 0.7412 0.3820


Entry 4:
Crystalline Gd2HfIn at its relaxed geometry. Source: the Alexandria database, functional GGA-PBE.

Properties
The symmetry is No. 123. The calculation puts the volume at 26.05 Å³ per atom. The energy of formation from the pure elements comes out at -124 meV per atom.

Unit cell a=4.6795 b=4.6795 c=4.7579 alpha=90.00 beta=90.00 gamma=90.00
Atoms (fractional coordinates):
Gd: 0.0000 0.5000 0.0000
Gd: 0.5000 0.0000 0.0000
Hf: 0.0000 0.0000 0.5000
In: 0.5000 0.5000 0.5000


Entry 5:
Crystalline Cs3YCu2I9 at its relaxed geometry. Source: the Alexandria database, functional GGA-PBE.

Properties
The symmetry is No. 164. The uncorrected formation energy is -0.9863 eV/atom. The calculation puts the volume at 40.88 Å³ per atom.

Unit cell a=8.2955 b=8.2955 c=10.2895 alpha=90.00 beta=90.00 gamma=120.00
Atoms (fractional coordinates):
Cs: 0.0000 0.0000 0.0000
Cs: 0.3333 0.6667 0.6667
Cs: 0.6667 0.3333 0.3333
Y: 0.0000 0.0000 0.5000
Cu: 0.3333 0.6667 0.1280
Cu: 0.6667 0.3333 0.8720
I: 0.0000 0.5000 0.0000
I: 0.1713 0.3426 0.3285
I: 0.1713 0.8287 0.3285
I: 0.3426 0.1713 0.6715
I: 0.5000 0.0000 0.0000
I: 0.5000 0.5000 0.0000
I: 0.6574 0.8287 0.3285
I: 0.8287 0.1713 0.6715
I: 0.8287 0.6574 0.6715


Entry 6:
Crystalline Na3Dy2ErSe6 at its relaxed geometry. Source: the Alexandria database, functional GGA-PBE.

Properties
The symmetry is No. 12. The uncorrected formation energy is -1.7068 eV/atom. The calculation puts the volume at 25.93 Å³ per atom.

Unit cell a=7.1613 b=7.1613 c=7.4017 alpha=99.28 beta=99.28 gamma=120.00
Atoms (fractional coordinates):
Na: 0.0000 0.0000 0.0000
Na: 0.3330 0.6670 0.0000
Na: 0.6670 0.3330 0.0000
Dy: 0.1666 0.8334 0.5000
Dy: 0.8334 0.1666 0.5000
Er: 0.5000 0.5000 0.5000
Se: 0.0924 0.4238 0.2712
Se: 0.2449 0.2449 0.7287
Se: 0.4238 0.0924 0.2712
Se: 0.5762 0.9076 0.7288
Se: 0.7551 0.7551 0.2713
Se: 0.9076 0.5762 0.7288


Entry 7:
Crystalline Pr3Nd4Tm8 at its relaxed geometry. Source: the Alexandria database, functional GGA-PBE.

Properties
The symmetry is No. 12. The calculation puts the volume at 33.86 Å³ per atom. The energy of formation from the pure elements comes out at 361 meV per atom.

Unit cell a=9.3230 b=9.3230 c=6.7631 alpha=111.26 beta=111.26 gamma=87.62
Atoms (fractional coordinates):
Pr: 0.0000 0.0000 0.0000
Pr: 0.0000 0.5000 0.0000
Pr: 0.5000 0.0000 0.0000
Nd: 0.0000 0.5000 0.5000
Nd: 0.5000 0.0000 0.5000
Nd: 0.5000 0.5000 0.0000
Nd: 0.5000 0.5000 0.5000
Tm: 0.1382 0.8618 0.5000
Tm: 0.2323 0.2323 0.9708
Tm: 0.2326 0.2326 0.4927
Tm: 0.2441 0.7559 0.0000
Tm: 0.7559 0.2441 0.0000
Tm: 0.7674 0.7674 0.5073
Tm: 0.7677 0.7677 0.0292
Tm: 0.8618 0.1382 0.5000


Entry 8:
Crystalline PrEr2Cu6 at its relaxed geometry. Source: the Alexandria database, functional GGA-PBE.

Properties
The symmetry is No. 191. The calculation puts the volume at 18.78 Å³ per atom. The energy of formation from the pure elements comes out at -234 meV per atom.

Unit cell a=7.3420 b=7.3420 c=3.6201 alpha=90.00 beta=90.00 gamma=120.00
Atoms (fractional coordinates):
Pr: 0.0000 0.0000 0.0000
Er: 0.3333 0.6667 0.0000
Er: 0.6667 0.3333 0.0000
Cu: 0.0000 0.3367 0.5000
Cu: 0.0000 0.6633 0.5000
Cu: 0.3367 0.0000 0.5000
Cu: 0.3367 0.3367 0.5000
Cu: 0.6633 0.0000 0.5000
Cu: 0.6633 0.6633 0.5000


Entry 9:
Crystalline LiBS2N at its relaxed geometry. Source: the Alexandria database, functional GGA-PBE.

Properties
The symmetry is No. 123. The uncorrected formation energy is 1.8764 eV/atom. The calculation puts the volume at 13.18 Å³ per atom.

Unit cell a=4.3836 b=4.3836 c=3.4291 alpha=90.00 beta=90.00 gamma=90.00
Atoms (fractional coordinates):
Li: 0.0000 0.0000 0.0000
B: 0.5000 0.5000 0.5000
S: 0.0000 0.5000 0.0000
S: 0.5000 0.0000 0.0000
N: 0.0000 0.0000 0.5000


Entry 10:
Crystalline KTaTl2 at its relaxed geometry. Source: the Alexandria database, functional GGA-PBE.

Properties
The symmetry is No. 12. The calculation puts the volume at 28.68 Å³ per atom. The energy of formation from the pure elements comes out at 565 meV per atom.

Unit cell a=9.4775 b=3.1258 c=7.7761 alpha=90.00 beta=95.19 gamma=90.00
Atoms (fractional coordinates):
K: 0.0000 0.0000 0.0000
K: 0.5000 0.5000 0.0000
Ta: 0.0000 0.5000 0.5000
Ta: 0.5000 0.0000 0.5000
Tl: 0.2451 0.0000 0.6904
Tl: 0.2549 0.5000 0.3096
Tl: 0.7451 0.5000 0.6904
Tl: 0.7549 0.0000 0.3096


Entry 11:
Crystalline Pr4Dy3In at its relaxed geometry. Source: the Alexandria database, functional GGA-PBE.

Properties
The symmetry is No. 31. The calculation puts the volume at 32.33 Å³ per atom. The energy of formation from the pure elements comes out at -92 meV per atom.

Unit cell a=11.4107 b=7.2227 c=6.2756 alpha=90.00 beta=90.00 gamma=90.00
Atoms (fractional coordinates):
Pr: 0.0000 0.1293 0.0000
Pr: 0.0000 0.8661 0.4429
Pr: 0.2285 0.8638 0.8136
Pr: 0.2715 0.1362 0.3136
Pr: 0.5000 0.1339 0.9429
Pr: 0.5000 0.8707 0.5000
Pr: 0.7285 0.1362 0.3136
Pr: 0.7715 0.8638 0.8136
Dy: 0.0000 0.3748 0.4777
Dy: 0.2462 0.3867 0.7956
Dy: 0.2538 0.6133 0.2956
Dy: 0.5000 0.6252 0.9777
Dy: 0.7462 0.6133 0.2956
Dy: 0.7538 0.3867 0.7956
In: 0.0000 0.6032 0.9783
In: 0.5000 0.3968 0.4783


Entry 12:
Crystalline NbBCl at its relaxed geometry. Source: the Alexandria database, functional GGA-PBE.

Properties
The symmetry is No. 12. The uncorrected formation energy is -0.6524 eV/atom. The calculation puts the volume at 19.53 Å³ per atom.

Unit cell a=7.3504 b=3.2487 c=10.1136 alpha=90.00 beta=103.93 gamma=90.00
Atoms (fractional coordinates):
Nb: 0.1754 0.0000 0.1186
Nb: 0.3246 0.5000 0.8814
Nb: 0.6754 0.5000 0.1186
Nb: 0.8246 0.0000 0.8814
B: 0.0675 0.5000 0.9478
B: 0.4325 0.0000 0.0522
B: 0.5675 0.0000 0.9478
B: 0.9325 0.5000 0.0522
Cl: 0.2072 0.0000 0.6878
Cl: 0.2928 0.5000 0.3122
Cl: 0.7072 0.5000 0.6878
Cl: 0.7928 0.0000 0.3122


Entry 13:
Crystalline Mg3Sn2Rh at its relaxed geometry. Source: the Alexandria database, functional GGA-PBE.

Properties
The symmetry is No. 12. The calculation puts the volume at 21.03 Å³ per atom. The energy of formation from the pure elements comes out at -309 meV per atom.

Unit cell a=14.4535 b=4.1790 c=4.3776 alpha=90.00 beta=107.35 gamma=90.00
Atoms (fractional coordinates):
Mg: 0.0000 0.0000 0.0000
Mg: 0.1513 0.5000 0.1469
Mg: 0.3487 0.0000 0.8531
Mg: 0.5000 0.5000 0.0000
Mg: 0.6513 0.0000 0.1469
Mg: 0.8487 0.5000 0.8531
Sn: 0.1379 0.0000 0.6343
Sn: 0.3621 0.5000 0.3657
Sn: 0.6379 0.5000 0.6343
Sn: 0.8621 0.0000 0.3657
Rh: 0.0000 0.5000 0.5000
Rh: 0.5000 0.0000 0.5000


Entry 14:
Crystalline Ti2Ge2Os at its relaxed geometry. Source: the Alexandria database, functional GGA-PBE.

Properties
The symmetry is No. 127. The calculation puts the volume at 15.68 Å³ per atom. The energy of formation from the pure elements comes out at -479 meV per atom.

Unit cell a=6.3772 b=6.3772 c=3.8567 alpha=90.00 beta=90.00 gamma=90.00
Atoms (fractional coordinates):
Ti: 0.1685 0.3315 0.0000
Ti: 0.3315 0.8315 0.0000
Ti: 0.6685 0.1685 0.0000
Ti: 0.8315 0.6685 0.0000
Ge: 0.1380 0.6380 0.5000
Ge: 0.3620 0.1380 0.5000
Ge: 0.6380 0.8620 0.5000
Ge: 0.8620 0.3620 0.5000
Os: 0.0000 0.0000 0.5000
Os: 0.5000 0.5000 0.5000


Entry 15:
Crystalline Zn11Ni2 at its relaxed geometry. Source: the Alexandria database, functional GGA-PBE.

Properties
The symmetry is No. 217. The calculation puts the volume at 13.83 Å³ per atom. The energy of formation from the pure elements comes out at -152 meV per atom.

Unit cell a=7.7599 b=7.7599 c=7.7599 alpha=109.47 beta=109.47 gamma=109.47
Atoms (fractional coordinates):
Zn: 0.0000 0.0000 0.7894
Zn: 0.0000 0.2657 0.6496
Zn: 0.0000 0.3552 0.3552
Zn: 0.0000 0.6448 0.6448
Zn: 0.0000 0.6496 0.2657
Zn: 0.0000 0.7894 0.0000
Zn: 0.2106 0.2106 0.2106
Zn: 0.2657 0.0000 0.6496
Zn: 0.2657 0.6496 0.0000
Zn: 0.3504 0.3504 0.6161
Zn: 0.3504 0.6161 0.3504
Zn: 0.3552 0.0000 0.3552
Zn: 0.3552 0.3552 0.0000
Zn: 0.3839 0.7343 0.7343
Zn: 0.6161 0.3504 0.3504
Zn: 0.6448 0.0000 0.6448
Zn: 0.6448 0.6448 0.0000
Zn: 0.6496 0.0000 0.2657
Zn: 0.6496 0.2657 0.0000
Zn: 0.7343 0.3839 0.7343
Zn: 0.7343 0.7343 0.3839
Zn: 0.7894 0.0000 0.0000
Ni: 0.0000 0.0000 0.3437
Ni: 0.0000 0.3437 0.0000
Ni: 0.3437 0.0000 0.0000
Ni: 0.6563 0.6563 0.6563


Entry 16:
Crystalline Hf7Bi2TeH2 at its relaxed geometry. Source: the Alexandria database, functional GGA-PBE.

Properties
The symmetry is No. 12. The total energy is -7.45 eV per atom. The calculation puts the volume at 19.03 Å³ per atom.

Unit cell a=4.3678 b=4.3678 c=12.1660 alpha=97.24 beta=97.24 gamma=89.89
Atoms (fractional coordinates):
Hf: 0.0000 0.0000 0.0000
Hf: 0.0643 0.5667 0.1860
Hf: 0.1296 0.1296 0.3894
Hf: 0.4333 0.9357 0.8140
Hf: 0.5667 0.0643 0.1860
Hf: 0.8704 0.8704 0.6106
Hf: 0.9357 0.4333 0.8140
Bi: 0.3702 0.3702 0.6289
Bi: 0.6298 0.6298 0.3711
Te: 0.5000 0.5000 0.0000
H: 0.0660 0.0660 0.1867
H: 0.9340 0.9340 0.8133


Entry 17:
Crystalline Y8Tm3Th2 at its relaxed geometry. Source: the Alexandria database, functional GGA-PBE.

Properties
The symmetry is No. 55. The calculation puts the volume at 32.80 Å³ per atom. The energy of formation from the pure elements comes out at 155 meV per atom.

Unit cell a=11.7526 b=20.6674 c=3.5115 alpha=90.00 beta=90.00 gamma=90.00
Atoms (fractional coordinates):
Y: 0.0450 0.0725 0.0000
Y: 0.0490 0.3400 0.5000
Y: 0.1271 0.7853 0.0000
Y: 0.2111 0.9498 0.5000
Y: 0.2889 0.4498 0.5000
Y: 0.3729 0.2853 0.0000
Y: 0.4510 0.8400 0.5000
Y: 0.4550 0.5725 0.0000
Y: 0.5450 0.4275 0.0000
Y: 0.5490 0.1600 0.5000
Y: 0.6271 0.7147 0.0000
Y: 0.7111 0.5502 0.5000
Y: 0.7889 0.0502 0.5000
Y: 0.8729 0.2147 0.0000
Y: 0.9510 0.6600 0.5000
Y: 0.9550 0.9275 0.0000
Tm: 0.0000 0.5000 0.5000
Tm: 0.1493 0.2000 0.5000
Tm: 0.3507 0.7000 0.5000
Tm: 0.5000 0.0000 0.5000
Tm: 0.6493 0.3000 0.5000
Tm: 0.8507 0.8000 0.5000
Th: 0.1782 0.5976 0.0000
Th: 0.3218 0.0976 0.0000
Th: 0.6782 0.9024 0.0000
Th: 0.8218 0.4024 0.0000


Entry 18:
Crystalline CsAcSe2O8 at its relaxed geometry. Source: the Alexandria database, functional GGA-PBE.

Properties
The symmetry is No. 147. The uncorrected formation energy is -1.5703 eV/atom. The calculation puts the volume at 22.79 Å³ per atom.

Unit cell a=5.8236 b=5.8236 c=9.3126 alpha=90.00 beta=90.00 gamma=120.00
Atoms (fractional coordinates):
Cs: 0.0000 0.0000 0.0000
Ac: 0.0000 0.0000 0.5000
Se: 0.3333 0.6667 0.7342
Se: 0.6667 0.3333 0.2658
O: 0.1061 0.3687 0.6692
O: 0.2626 0.8939 0.6692
O: 0.3333 0.6667 0.9107
O: 0.3687 0.2626 0.3308
O: 0.6313 0.7374 0.6692
O: 0.6667 0.3333 0.0893
O: 0.7374 0.1061 0.3308
O: 0.8939 0.6313 0.3308


Entry 19:
Crystalline InPIr4 at its relaxed geometry. Source: the Alexandria database, functional GGA-PBE.

Properties
The symmetry is No. 216. The calculation puts the volume at 16.96 Å³ per atom. The energy of formation from the pure elements comes out at 577 meV per atom.

Unit cell a=5.2405 b=5.2405 c=5.2405 alpha=60.00 beta=60.00 gamma=60.00
Atoms (fractional coordinates):
In: 0.0000 0.0000 0.0000
P: 0.2500 0.2500 0.2500
Ir: 0.1260 0.6247 0.6247
Ir: 0.6247 0.1260 0.6247
Ir: 0.6247 0.6247 0.1260
Ir: 0.6247 0.6247 0.6247